(1)
Material: ZnAg2P
Method: DFT, meta-GGA SCAN
State: PBEsol geometry

The space group is P4/mmm (No. 123) and the conventional cell measures 3.9715, 3.9715 and 3.9349 Å, with angles of 90.00, 90.00 and 90.00 degrees. The asymmetric unit holds Zn at (0.0000, 0.0000, 0.0000), Ag at (0.0000, 0.5000, 0.5000) and P at (0.5000, 0.5000, 0.0000).

The energy of formation is 182 meV/atom. The energy is -21.48 eV/atom. The energy above the most stable polymorph in this dataset is 0.00 eV/f.u.

***

(2)
Material: CaLaCrIn2
Method: DFT, meta-GGA SCAN
State: PBEsol geometry

The space group is P4/mmm (No. 123) and the conventional cell measures 5.4812, 5.4812 and 5.0240 Å, with angles of 90.00, 90.00 and 90.00 degrees. The asymmetric unit holds Ca at (0.0000, 0.0000, 0.0000), La at (0.5000, 0.5000, 0.5000), Cr at (0.0000, 0.0000, 0.5000) and In at (0.0000, 0.5000, 0.0000).

The energy of formation is 427 meV/atom. The energy is -27.16 eV/atom.

***

(3)
Material: Li2FeCuB
Method: DFT, meta-GGA SCAN
State: PBEsol geometry

The space group is P4/mmm (No. 123) and the conventional cell measures 4.0022, 4.0022 and 4.4585 Å, with angles of 90.00, 90.00 and 90.00 degrees. The asymmetric unit holds Li at (0.0000, 0.5000, 0.0000), Fe at (0.0000, 0.0000, 0.5000), Cu at (0.0000, 0.0000, 0.0000) and B at (0.5000, 0.5000, 0.5000).

The energy of formation is 1227 meV/atom. The energy is -7.88 eV/atom.

***

(4)
Material: Ta2ZnW
Method: DFT, meta-GGA SCAN
State: PBEsol geometry

The space group is P4/mmm (No. 123) and the conventional cell measures 3.2631, 3.2631 and 6.0551 Å, with angles of 90.00, 90.00 and 90.00 degrees. The asymmetric unit holds Ta at (0.0000, 0.0000, 0.2504), Zn at (0.5000, 0.5000, 0.0000) and W at (0.5000, 0.5000, 0.5000).

The energy of formation is -62 meV/atom. The energy is -54.15 eV/atom.

***

(5)
Material: CaZn13
Method: DFT, meta-GGA SCAN
State: PBEsol geometry

The space group is Fm-3c (No. 226) and the conventional cell measures 11.9691, 11.9691 and 11.9691 Å, with angles of 90.00, 90.00 and 90.00 degrees. The asymmetric unit holds Ca at (0.2500, 0.2500, 0.2500), Zn at (0.0000, 0.0000, 0.0000) and Zn at (0.0000, 0.1205, 0.1797).

The energy of formation is -206 meV/atom. The energy is -13.45 eV/atom.

***

(6)
Material: CsBe3Ge
Method: DFT, meta-GGA SCAN
State: PBEsol geometry

The space group is Pm-3m (No. 221) and the conventional cell measures 4.9004, 4.9004 and 4.9004 Å, with angles of 90.00, 90.00 and 90.00 degrees. The asymmetric unit holds Cs at (0.0000, 0.0000, 0.0000), Be at (0.0000, 0.0000, 0.5000) and Ge at (0.5000, 0.5000, 0.5000).

The energy of formation is 2693 meV/atom. The energy is -11.30 eV/atom.

***

(7)
Material: TcNi2Os
Method: DFT, meta-GGA SCAN
State: PBEsol geometry

The space group is Pmm2 (No. 25) and the conventional cell measures 2.6397, 3.6465 and 5.1047 Å, with angles of 90.00, 90.00 and 90.00 degrees. The asymmetric unit holds Tc at (0.0000, 0.0000, 0.0000), Ni at (0.0000, 0.0000, 0.4846), Ni at (0.5000, 0.5000, 0.2591) and Os at (0.5000, 0.5000, 0.7453).

The energy of formation is 75 meV/atom. The energy is -34.75 eV/atom. The energy above the most stable polymorph in this dataset is 0.22 eV/f.u.

***

(8)
Material: ZnSe5
Method: DFT, meta-GGA SCAN
State: PBEsol geometry

The space group is F-43m (No. 216) and the conventional cell measures 7.8932, 7.8932 and 7.8932 Å, with angles of 90.00, 90.00 and 90.00 degrees. The asymmetric unit holds Zn at (0.0000, 0.0000, 0.0000), Se at (0.1249, 0.1249, 0.6249) and Se at (0.2500, 0.2500, 0.2500).

The value obtained for the uncorrected formation energy is 0.800 eV per atom. The energy is -18.18 eV/atom.

***

(9)
Material: ZrRuAu2
Method: DFT, meta-GGA SCAN
State: PBEsol geometry

The space group is I-4m2 (No. 119) and the conventional cell measures 4.0625, 4.0625 and 8.0546 Å, with angles of 90.00, 90.00 and 90.00 degrees. The asymmetric unit holds Zr at (0.0000, 0.0000, 0.0000), Ru at (0.0000, 0.5000, 0.2500), Au at (0.0000, 0.0000, 0.5000) and Au at (0.0000, 0.5000, 0.7500).

The energy of formation is -469 meV/atom. The energy is -51.43 eV/atom. The energy above the most stable polymorph in this dataset is 0.22 eV/f.u.

***

(10)
Material: CoHg3Br
Method: DFT, meta-GGA SCAN
State: PBEsol geometry

The space group is Pm-3m (No. 221) and the conventional cell measures 5.5888, 5.5888 and 5.5888 Å, with angles of 90.00, 90.00 and 90.00 degrees. The asymmetric unit holds Co at (0.0000, 0.0000, 0.0000), Hg at (0.0000, 0.5000, 0.5000) and Br at (0.5000, 0.5000, 0.5000).

The value obtained for the uncorrected formation energy is 1.040 eV per atom. The energy is -47.21 eV/atom.

***

(11)
Material: Nb3InTe
Method: DFT, meta-GGA SCAN
State: PBEsol geometry

The space group is Pm-3m (No. 221) and the conventional cell measures 4.9776, 4.9776 and 4.9776 Å, with angles of 90.00, 90.00 and 90.00 degrees. The asymmetric unit holds Nb at (0.0000, 0.0000, 0.5000), In at (0.5000, 0.5000, 0.5000) and Te at (0.0000, 0.0000, 0.0000).

The value obtained for the uncorrected formation energy is 1.193 eV per atom. The energy is -32.81 eV/atom.

***

(12)
Material: GaGeSN2
Method: DFT, meta-GGA SCAN
State: PBEsol geometry

The space group is P4/mmm (No. 123) and the conventional cell measures 3.6343, 3.6343 and 5.4251 Å, with angles of 90.00, 90.00 and 90.00 degrees. The asymmetric unit holds Ga at (0.0000, 0.0000, 0.0000), Ge at (0.5000, 0.5000, 0.5000), S at (0.5000, 0.5000, 0.0000) and N at (0.0000, 0.5000, 0.5000).

The value obtained for the uncorrected formation energy is 0.956 eV per atom. The energy is -11.77 eV/atom.

***

(13)
Material: Te3SeN
Method: DFT, meta-GGA SCAN
State: PBEsol geometry

The space group is Pm-3m (No. 221) and the conventional cell measures 4.7406, 4.7406 and 4.7406 Å, with angles of 90.00, 90.00 and 90.00 degrees. The asymmetric unit holds Te at (0.0000, 0.0000, 0.5000), Se at (0.5000, 0.5000, 0.5000) and N at (0.0000, 0.0000, 0.0000).

The value obtained for the uncorrected formation energy is 0.932 eV per atom. The energy is -27.29 eV/atom.

***

(14)
Material: LaZrIn2
Method: DFT, meta-GGA SCAN
State: PBEsol geometry

The space group is P4/mmm (No. 123) and the conventional cell measures 3.2699, 3.2699 and 9.0600 Å, with angles of 90.00, 90.00 and 90.00 degrees. The asymmetric unit holds La at (0.0000, 0.0000, 0.0000), Zr at (0.0000, 0.0000, 0.5000) and In at (0.5000, 0.5000, 0.2721).

The energy of formation is -508 meV/atom. The energy is -35.65 eV/atom.

***

(15)
Material: Fe2AgAu
Method: DFT, meta-GGA SCAN
State: PBEsol geometry

The space group is F-43m (No. 216) and the conventional cell measures 6.1070, 6.1070 and 6.1070 Å, with angles of 90.00, 90.00 and 90.00 degrees. The asymmetric unit holds Fe at (0.0000, 0.0000, 0.0000), Fe at (0.2500, 0.2500, 0.2500), Ag at (0.0000, 0.0000, 0.5000) and Au at (0.2500, 0.2500, 0.7500).

The energy of formation is 163 meV/atom. The energy is -34.03 eV/atom.

***

(16)
Material: CaHf2Co
Method: DFT, meta-GGA SCAN
State: PBEsol geometry

The space group is Fm-3m (No. 225) and the conventional cell measures 6.6504, 6.6504 and 6.6504 Å, with angles of 90.00, 90.00 and 90.00 degrees. The asymmetric unit holds Ca at (0.0000, 0.0000, 0.0000), Hf at (0.2500, 0.2500, 0.2500) and Co at (0.0000, 0.0000, 0.5000).

The energy of formation is 513 meV/atom. The energy is -37.57 eV/atom.

***

(17)
Material: Sc3Ag
Method: DFT, meta-GGA SCAN
State: PBEsol geometry

The space group is Pnma (No. 62) and the conventional cell measures 6.2185, 8.6772 and 6.3093 Å, with angles of 90.00, 90.00 and 90.00 degrees. The asymmetric unit holds Sc at (0.9999, 0.2500, 0.0836), Sc at (0.2487, 0.0454, 0.7487) and Ag at (0.0015, 0.7500, 0.4982).

The energy of formation is -205 meV/atom. The energy is -18.72 eV/atom. The energy above the most stable polymorph in this dataset is 0.00 eV/f.u.

***

(18)
Material: FeTeSe2
Method: DFT, meta-GGA SCAN
State: PBEsol geometry

The space group is Cm (No. 8) and the conventional cell measures 11.1591, 3.3695 and 4.9645 Å, with angles of 90.00, 114.40 and 90.00 degrees. The asymmetric unit holds Fe at (0.0000, 0.0000, 0.0000), Te at (0.1624, 0.5000, 0.3460), Se at (0.0112, 0.5000, 0.6907) and Se at (0.3639, 0.0000, 0.0492).

The value obtained for the uncorrected formation energy is 0.083 eV per atom. The energy is -23.80 eV/atom.

***

(19)
Material: LaPN3
Method: DFT, meta-GGA SCAN
State: PBEsol geometry

The space group is Pm-3m (No. 221) and the conventional cell measures 3.6841, 3.6841 and 3.6841 Å, with angles of 90.00, 90.00 and 90.00 degrees. The asymmetric unit holds La at (0.0000, 0.0000, 0.0000), P at (0.5000, 0.5000, 0.5000) and N at (0.0000, 0.5000, 0.5000).

The value obtained for the uncorrected formation energy is -0.485 eV per atom. The energy is -16.76 eV/atom.

***

(20)
Material: NbHgTe2
Method: DFT, meta-GGA SCAN
State: PBEsol geometry

The space group is R-3m (No. 166, hexagonal axes) and the conventional cell measures 3.5532, 3.5532 and 31.9782 Å, with angles of 90.00, 90.00 and 120.00 degrees. The asymmetric unit holds Nb at (0.0000, 0.0000, 0.0000), Hg at (0.0000, 0.0000, 0.5000) and Te at (0.0000, 0.0000, 0.3920).

The value obtained for the uncorrected formation energy is -0.294 eV per atom. The energy is -44.24 eV/atom.

***

(21)
Material: BaSiSb2
Method: DFT, meta-GGA SCAN
State: PBEsol geometry

The space group is Imm2 (No. 44) and the conventional cell measures 3.9290, 5.2884 and 11.2686 Å, with angles of 90.00, 90.00 and 90.00 degrees. The asymmetric unit holds Ba at (0.0000, 0.0000, 0.0000), Si at (0.0000, 0.5000, 0.2663), Sb at (0.0000, 0.0000, 0.6065) and Sb at (0.0000, 0.5000, 0.7672).

The value obtained for the uncorrected formation energy is -0.152 eV per atom. The energy is -31.17 eV/atom.

***

(22)
Material: RbMn2S2
Method: DFT, meta-GGA SCAN
State: PBEsol geometry

The space group is I4/mmm (No. 139) and the conventional cell measures 4.6913, 4.6913 and 9.7134 Å, with angles of 90.00, 90.00 and 90.00 degrees. The asymmetric unit holds Rb at (0.0000, 0.0000, 0.0000), Mn at (0.0000, 0.0000, 0.3314) and S at (0.0000, 0.5000, 0.2500).

The value obtained for the uncorrected formation energy is -0.784 eV per atom. The energy is -16.08 eV/atom.

***

(23)
Material: CoNi2Br
Method: DFT, meta-GGA SCAN
State: PBEsol geometry

The space group is I-4m2 (No. 119) and the conventional cell measures 3.7197, 3.7197 and 7.1394 Å, with angles of 90.00, 90.00 and 90.00 degrees. The asymmetric unit holds Co at (0.0000, 0.0000, 0.0000), Ni at (0.0000, 0.0000, 0.5000), Ni at (0.0000, 0.5000, 0.2500) and Br at (0.0000, 0.5000, 0.7500).

The value obtained for the uncorrected formation energy is 0.798 eV per atom. The energy is -16.48 eV/atom. The energy above the most stable polymorph in this dataset is 0.00 eV/f.u.

***

(24)
Material: CaFe2Pt
Method: DFT, meta-GGA SCAN
State: PBEsol geometry

The space group is C2/m (No. 12) and the conventional cell measures 5.3250, 8.8800 and 2.7053 Å, with angles of 90.00, 110.08 and 90.00 degrees. The asymmetric unit holds Ca at (0.0000, 0.0000, 0.0000), Fe at (0.2500, 0.2500, 0.5000) and Pt at (0.0000, 0.5000, 0.0000).

The energy of formation is 138 meV/atom. The energy is -28.89 eV/atom.

***

(25)
Material: ZrCoRu2
Method: DFT, meta-GGA SCAN
State: PBEsol geometry

The space group is Cm (No. 8) and the conventional cell measures 8.9955, 2.8353 and 4.5950 Å, with angles of 90.00, 102.41 and 90.00 degrees. The asymmetric unit holds Zr at (0.0000, 0.0000, 0.0000), Co at (0.2456, 0.0000, 0.7546), Ru at (0.0077, 0.5000, 0.5035) and Ru at (0.2635, 0.5000, 0.3168).

The energy of formation is -10 meV/atom. The energy is -29.42 eV/atom. The energy above the most stable polymorph in this dataset is 0.00 eV/f.u.

***

(26)
Material: SrCaIr2I
Method: DFT, meta-GGA SCAN
State: PBEsol geometry

The space group is P4/mmm (No. 123) and the conventional cell measures 5.0125, 5.0125 and 5.5597 Å, with angles of 90.00, 90.00 and 90.00 degrees. The asymmetric unit holds Sr at (0.0000, 0.0000, 0.0000), Ca at (0.5000, 0.5000, 0.0000), Ir at (0.0000, 0.5000, 0.5000) and I at (0.0000, 0.0000, 0.5000).

The value obtained for the uncorrected formation energy is 0.890 eV per atom. The energy is -41.29 eV/atom.

***

(27)
Material: RbCa2Bi2
Method: DFT, meta-GGA SCAN
State: PBEsol geometry

The space group is P4/mbm (No. 127) and the conventional cell measures 9.6089, 9.6089 and 3.7328 Å, with angles of 90.00, 90.00 and 90.00 degrees. The asymmetric unit holds Rb at (0.0000, 0.0000, 0.0000), Ca at (0.1344, 0.3656, 0.5000) and Bi at (0.1595, 0.6595, 0.0000).

The energy of formation is -733 meV/atom. The energy is -40.18 eV/atom.

***

Short version: N(E_F) = 0.94; 3.07; 2.39; 1.10; 11.50; 2.73; 4.65; 19.90; 3.34; 6.73; 7.46; 2.43; 2.92; 3.24; 12.27; 13.93; 7.69; 4.26; 3.09; 7.05; 4.86; 2.12; 8.25; 5.71; 6.52; 4.70; 1.44 states/eV per cell, in the order given.